The following is a PBE with a Hubbard U calculation of TaMn3O6F2 after structural relaxation, from Alexandria.

Properties
As for the total magnetic moment: 12.00 Bohr magnetons per cell. The calculated total energy is -7.7416 eV/atom. Its space-group type is C2/m.

POSCAR file:
```
TaMn3O6F2
1.0
4.527 0.000 0.550
0.000 5.915 0.000
0.014 -2.957 5.225
Ta Mn O F
1 3 6 2
Direct
0.500 0.000 0.000
0.000 0.500 0.000
0.500 0.500 0.500
0.500 0.000 0.500
0.735 0.322 0.150
0.265 0.678 0.850
0.703 0.820 0.640
0.297 0.180 0.360
0.265 0.172 0.850
0.735 0.828 0.150
0.234 0.670 0.340
0.766 0.330 0.660
```